1.
VASP calculation (PBE-GGA) on a relaxed Hg2H2Au crystal.

Lattice parameters (Å, degrees): 8.810 13.490 5.851 90.00 111.77 90.00
Space group C2/m (No. 12)
Asymmetric unit:
1 Hg 0.171 0.248 0.181 [8 per cell]
2 H 0.197 0.500 0.244 [4 per cell]
3 H 0.214 0.000 0.740 [4 per cell]
4 Au 0.000 0.251 0.500 [4 per cell]

Calculated values
- electronic total energy (eV/atom) = -1.985
- ρ (g/cm3) = 6.2
- magnetic moment (μB per atom) = 0.000
- calculated volume (Å³/atom) = 32.3

***

2.
VASP calculation (PBE-GGA) on a relaxed HgHAu crystal.

Lattice parameters (Å, degrees): 2.845 4.097 10.402 99.55 95.53 91.52
Space group P-1 (No. 2)
Asymmetric unit:
1 Hg 0.156 0.137 0.247 [2 per cell]
2 H 0.490 0.535 0.968 [2 per cell]
3 Au 0.278 0.284 0.577 [2 per cell]

Calculated values
- electronic total energy (eV/atom) = -2.209
- ρ (g/cm3) = 11.1
- magnetic moment (μB per atom) = 0.000
- calculated volume (Å³/atom) = 19.8

***

3.
VASP calculation (PBE-GGA) on a relaxed Hg2H2Au crystal.

Lattice parameters (Å, degrees): 3.246 3.246 13.810 90.00 90.00 90.00
Space group I4/mmm (No. 139)
Asymmetric unit:
1 Hg 0.000 0.000 0.142 [4 per cell]
2 H 0.000 0.500 0.250 [4 per cell]
3 Au 0.000 0.000 0.500 [2 per cell]

Calculated values
- electronic total energy (eV/atom) = -1.616
- ρ (g/cm3) = 13.7
- magnetic moment (μB per atom) = 0.000
- calculated volume (Å³/atom) = 14.5

***

4.
VASP calculation (PBE-GGA) on a relaxed HgHAu2 crystal.

Lattice parameters (Å, degrees): 6.512 6.512 6.512 90.00 90.00 90.00
Space group Fm-3m (No. 225)
Asymmetric unit:
1 Hg 0.000 0.000 0.000 [4 per cell]
2 H 0.000 0.000 0.500 [4 per cell]
3 Au 0.250 0.250 0.250 [8 per cell]

Calculated values
- electronic total energy (eV/atom) = -1.892
- ρ (g/cm3) = 14.3
- magnetic moment (μB per atom) = 0.079
- calculated volume (Å³/atom) = 17.3

***

5.
VASP calculation (PBE-GGA) on a relaxed Hg4HAu crystal.

Lattice parameters (Å, degrees): 5.470 10.150 9.683 90.00 98.86 90.00
Space group C2/m (No. 12)
Asymmetric unit:
1 Hg 0.000 0.143 0.000 [4 per cell]
2 Hg 0.190 0.337 0.234 [8 per cell]
3 Hg 0.238 0.000 0.392 [4 per cell]
4 H 0.032 0.500 0.750 [4 per cell]
5 Au 0.000 0.225 0.500 [4 per cell]

Calculated values
- electronic total energy (eV/atom) = -1.123
- ρ (g/cm3) = 12.5
- magnetic moment (μB per atom) = 0.000
- calculated volume (Å³/atom) = 22.1

***

6.
VASP calculation (PBE-GGA) on a relaxed Hg2HAu2 crystal.

Lattice parameters (Å, degrees): 5.824 5.824 5.315 90.00 90.00 90.00
Space group P4/mbm (No. 127)
Asymmetric unit:
1 Hg 0.180 0.320 0.000 [4 per cell]
2 H 0.000 0.000 0.000 [2 per cell]
3 Au 0.170 0.670 0.500 [4 per cell]

Calculated values
- electronic total energy (eV/atom) = -1.730
- ρ (g/cm3) = 14.7
- magnetic moment (μB per atom) = 0.000
- calculated volume (Å³/atom) = 18.0

***

7.
VASP calculation (PBE-GGA) on a relaxed HgHAu crystal.

Lattice parameters (Å, degrees): 4.915 5.870 7.065 67.88 69.74 90.00
Space group P1 (No. 1)
Asymmetric unit:
1 Hg 0.000 0.000 0.000 [1 per cell]
2 Hg 0.497 0.270 0.005 [1 per cell]
3 H 0.230 0.626 0.563 [1 per cell]
4 H 0.291 0.647 0.442 [1 per cell]
5 Au 0.499 0.761 0.001 [1 per cell]
6 Au 0.998 0.509 0.004 [1 per cell]

Calculated values
- electronic total energy (eV/atom) = -2.171
- ρ (g/cm3) = 7.6
- magnetic moment (μB per atom) = 0.000
- calculated volume (Å³/atom) = 29.2

***

8.
VASP calculation (PBE-GGA) on a relaxed Hg2HAu crystal.

Lattice parameters (Å, degrees): 6.692 6.692 6.692 90.00 90.00 90.00
Space group Fm-3m (No. 225)
Asymmetric unit:
1 Hg 0.250 0.250 0.250 [8 per cell]
2 H 0.000 0.000 0.000 [4 per cell]
3 Au 0.000 0.000 0.500 [4 per cell]

Calculated values
- electronic total energy (eV/atom) = -1.274
- ρ (g/cm3) = 13.3
- magnetic moment (μB per atom) = 0.144
- calculated volume (Å³/atom) = 18.7

***

9.
VASP calculation (PBE-GGA) on a relaxed Hg2H2Au crystal.

Lattice parameters (Å, degrees): 5.429 5.429 5.713 90.00 90.00 90.00
Space group P4/mbm (No. 127)
Asymmetric unit:
1 Hg 0.187 0.313 0.000 [4 per cell]
2 H 0.248 0.252 0.500 [4 per cell]
3 Au 0.000 0.000 0.500 [2 per cell]

Calculated values
- electronic total energy (eV/atom) = -1.824
- ρ (g/cm3) = 11.8
- magnetic moment (μB per atom) = 0.000
- calculated volume (Å³/atom) = 16.8

***

10.
VASP calculation (PBE-GGA) on a relaxed Hg2HAu2 crystal.

Lattice parameters (Å, degrees): 5.631 5.631 5.800 90.00 90.00 90.00
Space group P4/mbm (No. 127)
Asymmetric unit:
1 Hg 0.188 0.312 0.000 [4 per cell]
2 H 0.000 0.000 0.500 [2 per cell]
3 Au 0.188 0.688 0.500 [4 per cell]

Calculated values
- electronic total energy (eV/atom) = -1.928
- ρ (g/cm3) = 14.4
- magnetic moment (μB per atom) = 0.000
- calculated volume (Å³/atom) = 18.4

***

11.
VASP calculation (PBE-GGA) on a relaxed Hg2HAu crystal.

Lattice parameters (Å, degrees): 3.466 4.937 5.568 64.20 87.53 88.88
Space group P-1 (No. 2)
Asymmetric unit:
1 Hg 0.007 0.164 0.173 [2 per cell]
2 H 0.500 0.500 0.500 [1 per cell]
3 Au 0.000 0.500 0.500 [1 per cell]

Calculated values
- electronic total energy (eV/atom) = -1.696
- ρ (g/cm3) = 11.6
- magnetic moment (μB per atom) = 0.000
- calculated volume (Å³/atom) = 21.4

***

12.
VASP calculation (PBE-GGA) on a relaxed HgHAu2 crystal.

Lattice parameters (Å, degrees): 5.239 5.239 11.035 90.00 90.00 90.00
Space group I-42d (No. 122)
Asymmetric unit:
1 Hg 0.000 0.000 0.000 [4 per cell]
2 H 0.000 0.000 0.500 [4 per cell]
3 Au 0.060 0.250 0.625 [8 per cell]

Calculated values
- electronic total energy (eV/atom) = -2.305
- ρ (g/cm3) = 13.1
- magnetic moment (μB per atom) = 0.000
- calculated volume (Å³/atom) = 18.9